This record from OQMD describes crystalline BaMgZnSi2 at its relaxed geometry. The functional is PBE-GGA.

Properties
Energy in eV per cell: -34.25
Calculated volume in Å³ per cell: 222.8

Cell lengths 4.572, 4.572, 10.658 Å; angles 90.00, 90.00, 90.00 degrees
Space group I-4m2 (No. 119)
Asymmetric unit:
Ba1 0.000 0.000 0.000 x2
Mg1 0.000 0.500 0.250 x2
Zn1 0.000 0.500 0.750 x2
Si1 0.000 0.000 0.385 x4

***

This record from OQMD describes crystalline YGe4Pd6 at its relaxed geometry. The functional is PBE-GGA.

Properties
Energy in eV per cell: -63.48
Calculated volume in Å³ per cell: 184.6
Total magnetization in μB/f.u.: 0.00

Cell lengths 7.3842, 7.3842, 3.9096 Å; angles 90.00, 90.00, 120.00 degrees
Space group P-6m2 (No. 187)
Asymmetric unit:
Y1 0.0000 0.0000 0.0000 x1
Ge1 0.3333 0.6667 0.0000 x1
Ge2 0.3796 0.1898 0.5000 x3
Pd1 0.1984 0.3967 0.5000 x3
Pd2 0.5354 0.0708 0.0000 x3

***

This record from OQMD describes crystalline K2Rb2ZnAs2 at its relaxed geometry. The functional is PBE-GGA.

Properties
Relative energy among the computed polymorphs in eV/atom: 0.005
Energy in eV per cell: -53.36
Calculated volume in Å³ per cell: 824.2

Cell lengths 5.9393, 5.9393, 26.9783 Å; angles 90.00, 90.00, 120.00 degrees
Space group R-3m (No. 166, hexagonal axes)
Asymmetric unit:
K1 0.0000 0.0000 0.2086 x6
Rb1 0.0000 0.0000 0.3842 x6
Zn1 0.0000 0.0000 0.0000 x3
As1 0.0000 0.0000 0.0864 x6

***

This record from OQMD describes crystalline AgF2 at its relaxed geometry. The functional is PBE-GGA.

Properties
Energy in eV per cell: -72.31
Calculated volume in Å³ per cell: 841.4

Cell lengths 9.441, 9.441, 9.441 Å; angles 90.00, 90.00, 90.00 degrees
Space group Fd-3m (No. 227, origin choice 2)
Asymmetric unit:
Ag1 0.125 0.125 0.125 x8
F1 0.000 0.000 0.000 x16

***

This record from OQMD describes crystalline LuInNO at its relaxed geometry. The functional is PBE-GGA.

Properties
Relative energy among the computed polymorphs in eV/atom: 0.173
Energy in eV per cell: -51.88
Calculated volume in Å³ per cell: 111.0
Total magnetization in μB/f.u.: 0.00

Cell lengths 4.863, 4.863, 4.692 Å; angles 90.00, 90.00, 90.00 degrees
Space group P4/nmm (No. 129, origin choice 2)
Asymmetric unit:
Lu1 0.250 0.750 0.000 x2
In1 0.250 0.250 0.498 x2
N1 0.250 0.250 0.998 x2
O1 0.250 0.750 0.500 x2

***

This record from OQMD describes crystalline LiNpB at its relaxed geometry. The functional is PBE-GGA.

Properties
Energy in eV per cell: -78.84
Calculated volume in Å³ per cell: 198.3
Total magnetization in μB/f.u.: 3.43

Cell lengths 5.831, 5.831, 5.831 Å; angles 90.00, 90.00, 90.00 degrees
Space group F-43m (No. 216)
Asymmetric unit:
Li1 0.000 0.000 0.000 x4
Np1 0.000 0.000 0.500 x4
B1 0.250 0.250 0.250 x4

***

This record from OQMD describes crystalline ZrAgB4 at its relaxed geometry. The functional is PBE-GGA.

Properties
Relative energy among the computed polymorphs in eV/atom: 0.000
Energy in eV per cell: -78.11
Calculated volume in Å³ per cell: 125.8
Total magnetization in μB/f.u.: 0.00

Cell lengths 3.121, 5.291, 7.618 Å; angles 90.00, 90.00, 90.00 degrees
Space group Immm (No. 71)
Asymmetric unit:
Zr1 0.000 0.000 0.000 x2
Ag1 0.000 0.000 0.500 x2
B1 0.000 0.319 0.264 x8

***

This record from OQMD describes crystalline Er2Al2O5 at its relaxed geometry. The functional is PBE-GGA.

Properties
Relative energy among the computed polymorphs in eV/atom: 0.000
Energy in eV per cell: -67.33
Calculated volume in Å³ per cell: 94.8
Total magnetization in μB/f.u.: 0.00

Cell lengths 3.696, 3.696, 6.942 Å; angles 90.00, 90.00, 90.00 degrees
Space group P4/mmm (No. 123)
Asymmetric unit:
Er1 0.000 0.000 0.000 x1
Er2 0.000 0.000 0.500 x1
Al1 0.500 0.500 0.230 x2
O1 0.000 0.500 0.241 x4
O2 0.500 0.500 0.500 x1

***

This record from OQMD describes crystalline Na2DyHoO4 at its relaxed geometry. The functional is PBE-GGA.

Properties
Relative energy among the computed polymorphs in eV/atom: 0.168
Energy in eV per cell: -211.05
Calculated volume in Å³ per cell: 484.0
Total magnetization in μB/f.u.: 0.00

Cell lengths 5.738, 25.502, 3.308 Å; angles 90.00, 90.00, 90.00 degrees
Space group Imm2 (No. 44)
Asymmetric unit:
Na1 0.000 0.056 0.000 x4
Na2 0.000 0.271 0.001 x4
Dy1 0.000 0.160 0.502 x4
Ho1 0.000 0.384 0.502 x4
O1 0.247 0.186 0.002 x8
O2 0.249 0.409 0.002 x8

***

This record from OQMD describes crystalline Dy2ErLu4Cu2Te2 at its relaxed geometry. The functional is PBE-GGA.

Properties
Energy in eV per cell: -103.68
Calculated volume in Å³ per cell: 567.3
Total magnetization in μB/f.u.: 0.05

Cell lengths 3.937, 15.227, 9.463 Å; angles 90.00, 90.00, 90.00 degrees
Space group Imm2 (No. 44)
Asymmetric unit:
Dy1 0.000 0.145 0.000 x4
Er1 0.000 0.500 0.261 x2
Lu1 0.000 0.185 0.641 x4
Lu2 0.000 0.368 0.848 x4
Cu1 0.000 0.262 0.331 x4
Te1 0.000 0.000 0.495 x2
Te2 0.000 0.500 0.604 x2

***

This record from OQMD describes crystalline Y2HoAl3CuGe2 at its relaxed geometry. The functional is PBE-GGA.

Properties
Energy in eV per cell: -95.41
Calculated volume in Å³ per cell: 354.4
Total magnetization in μB/f.u.: 0.01

Cell lengths 4.168, 12.134, 7.007 Å; angles 90.00, 90.00, 90.00 degrees
Space group Amm2 (No. 38)
Asymmetric unit:
Y1 0.000 0.202 0.000 x4
Ho1 0.000 0.000 0.604 x2
Al1 0.500 0.000 0.969 x2
Al2 0.500 0.116 0.318 x4
Cu1 0.000 0.000 0.202 x2
Ge1 0.500 0.166 0.701 x4

***

This record from OQMD describes crystalline PrPPtO at its relaxed geometry. The functional is PBE-GGA.

Properties
Relative energy among the computed polymorphs in eV/atom: 0.892
Energy in eV per cell: -49.89
Calculated volume in Å³ per cell: 164.3
Total magnetization in μB/f.u.: 0.00

Cell lengths 6.038, 6.038, 4.506 Å; angles 90.00, 90.00, 90.00 degrees
Space group P4/nmm (No. 129, origin choice 2)
Asymmetric unit:
Pr1 0.250 0.750 0.000 x2
P1 0.250 0.250 0.013 x2
Pt1 0.250 0.250 0.514 x2
O1 0.250 0.750 0.500 x2

***

This record from OQMD describes crystalline LuTcNO at its relaxed geometry. The functional is PBE-GGA.

Properties
Relative energy among the computed polymorphs in eV/atom: 0.000
Energy in eV per cell: -68.54
Calculated volume in Å³ per cell: 104.1
Total magnetization in μB/f.u.: 0.01

Cell lengths 3.728, 3.728, 7.488 Å; angles 90.00, 90.00, 90.00 degrees
Space group P4/nmm (No. 129, origin choice 2)
Asymmetric unit:
Lu1 0.250 0.250 0.143 x2
Tc1 0.250 0.750 0.500 x2
N1 0.250 0.250 0.634 x2
O1 0.250 0.750 0.000 x2

***

This record from OQMD describes crystalline KNdNO at its relaxed geometry. The functional is PBE-GGA.

Properties
Relative energy among the computed polymorphs in eV/atom: 0.011
Energy in eV per cell: -47.42
Calculated volume in Å³ per cell: 185.4
Total magnetization in μB/f.u.: 1.00

Cell lengths 3.842, 7.495, 6.439 Å; angles 90.00, 90.00, 90.00 degrees
Space group Pmc2_1 (No. 26)
Asymmetric unit:
K1 0.000 0.154 0.000 x2
Nd1 0.500 0.336 0.489 x2
N1 0.500 0.378 0.850 x2
O1 0.000 0.192 0.415 x2

***

This record from OQMD describes crystalline BaLiFeRe at its relaxed geometry. The functional is PBE-GGA.

Properties
Relative energy among the computed polymorphs in eV/atom: 0.000
Energy in eV per cell: -80.59
Calculated volume in Å³ per cell: 308.2
Total magnetization in μB/f.u.: 4.29

Cell lengths 6.755, 6.755, 6.755 Å; angles 90.00, 90.00, 90.00 degrees
Space group F-43m (No. 216)
Asymmetric unit:
Ba1 0.000 0.000 0.000 x4
Li1 0.250 0.250 0.250 x4
Fe1 0.250 0.250 0.750 x4
Re1 0.000 0.000 0.500 x4

***

This record from OQMD describes crystalline TbNi2Pt2 at its relaxed geometry. The functional is PBE-GGA.

Properties
Energy in eV per cell: -60.64
Calculated volume in Å³ per cell: 170.4
DFT formation energy in eV per atom: -0.49
Total magnetization in μB/f.u.: 1.10

Cell lengths 3.751, 3.751, 12.109 Å; angles 90.00, 90.00, 90.00 degrees
Space group I4/mmm (No. 139)
Asymmetric unit:
Tb1 0.000 0.000 0.000 x2
Ni1 0.000 0.500 0.250 x4
Pt1 0.000 0.000 0.391 x4

***

This record from OQMD describes crystalline BiPtNO at its relaxed geometry. The functional is PBE-GGA.

Properties
Relative energy among the computed polymorphs in eV/atom: 0.000
Energy in eV per cell: -94.51
Calculated volume in Å³ per cell: 253.0
Total magnetization in μB/f.u.: 0.00

Cell lengths 5.736, 8.157, 5.406 Å; angles 90.00, 90.00, 90.00 degrees
Space group Pca2_1 (No. 29)
Asymmetric unit:
Bi1 0.019 0.153 0.000 x4
Pt1 0.063 0.465 0.643 x4
N1 0.140 0.358 0.314 x4
O1 0.244 0.992 0.733 x4

***

This record from OQMD describes crystalline AgC10N5 at its relaxed geometry. The functional is PBE-GGA.

Properties
Energy in eV per cell: -518.41
Calculated volume in Å³ per cell: 910.6

Cell lengths 6.735, 11.471, 12.805 Å; angles 90.00, 113.01, 90.00 degrees
Space group P2_1/c (No. 14)
Asymmetric unit:
Ag1 0.151 0.124 0.258 x4
C1 0.187 0.741 0.134 x4
C2 0.218 0.047 0.914 x4
C3 0.290 0.611 0.951 x4
C4 0.330 0.249 0.578 x4
C5 0.340 0.727 0.591 x4
C6 0.383 0.129 0.931 x4
C7 0.391 0.714 0.007 x4
C8 0.437 0.225 0.006 x4
C9 0.474 0.543 0.705 x4
C10 0.478 0.629 0.628 x4
N1 0.063 0.718 0.174 x4
N2 0.082 0.523 0.397 x4
N3 0.205 0.525 0.907 x4
N4 0.235 0.235 0.637 x4
N5 0.464 0.031 0.265 x4

***

This record from OQMD describes crystalline HfCd2Pd at its relaxed geometry. The functional is PBE-GGA.

Properties
Energy in eV per cell: -71.68
Calculated volume in Å³ per cell: 299.7
DFT formation energy in eV per atom: -0.25
Total magnetization in μB/f.u.: 0.00

Cell lengths 6.692, 6.692, 6.692 Å; angles 90.00, 90.00, 90.00 degrees
Space group F-43m (No. 216)
Asymmetric unit:
Hf1 0.000 0.000 0.000 x4
Cd1 0.000 0.000 0.500 x4
Cd2 0.250 0.250 0.250 x4
Pd1 0.250 0.250 0.750 x4

***

This record from OQMD describes crystalline TmSnAuS3 at its relaxed geometry. The functional is PBE-GGA.

Properties
Relative energy among the computed polymorphs in eV/atom: 0.118
Energy in eV per cell: -59.17
Calculated volume in Å³ per cell: 275.9
Total magnetization in μB/f.u.: 0.01

Cell lengths 7.631, 3.961, 9.566 Å; angles 90.00, 107.44, 90.00 degrees
Space group P2_1/m (No. 11)
Asymmetric unit:
Tm1 0.194 0.250 0.165 x2
Sn1 0.220 0.750 0.708 x2
Au1 0.362 0.750 0.424 x2
S1 0.073 0.250 0.871 x2
S2 0.168 0.250 0.455 x2
S3 0.440 0.750 0.187 x2